{"formula": "TaCu2Cl", "functional": "PBE-GGA", "state": "relaxed", "lattice_angstrom": [[0.000, 3.182, 3.182], [3.182, 0.000, 3.182], [3.182, 3.182, 0.000]], "species": ["Ta", "Cu", "Cu", "Cl"], "fractional_positions": [[0.000, 0.000, 0.000], [0.250, 0.250, 0.250], [0.750, 0.750, 0.750], [0.500, 0.500, 0.500]], "mass_density_g_cm3": 8.9, "sg": "Fm-3m (225)", "raw_formation_energy_ev_per_fu": 3.8, "polymorph_energy_ev_per_fu": 3.750}

=====

{"formula": "Pr3DyEr6Tm2", "functional": "PBE-GGA", "state": "relaxed", "lattice_angstrom": [[3.086, -5.343, 0.000], [3.086, 5.343, 0.000], [-2.054, 0.000, 11.565]], "species": ["Pr", "Pr", "Pr", "Dy", "Er", "Er", "Er", "Er", "Er", "Er", "Tm", "Tm"], "fractional_positions": [[0.000, 0.000, 0.000], [0.333, 0.667, 0.000], [0.667, 0.333, 0.000], [0.500, 0.500, 0.500], [0.085, 0.418, 0.255], [0.248, 0.248, 0.745], [0.418, 0.085, 0.255], [0.582, 0.915, 0.745], [0.752, 0.752, 0.255], [0.915, 0.582, 0.745], [0.167, 0.833, 0.500], [0.833, 0.167, 0.500]], "mass_density_g_cm3": 8.4, "e_form_ev_per_atom": 0.025, "sg": "C2/m (12)"}

=====

| no. | raw total energy (eV/atom) |
| --- | --- |
| 1 | -4.5158 |
| 2 | -4.5800 |